VASP calculation (GGA-PBE) on a relaxed structure of PdI.

## Properties
DOS at the Fermi energy (states/eV/f.u.): 1.06
Formation energy from raw total energies (eV/atom): 0.04
Symmetry: I-43m
Total magnetization (μB/atom): 0.000

Cell: 8.367 8.367 8.367 Å, 90.00 90.00 90.00°
Element x y z (fractional)
Pd 0.126 0.126 0.126
Pd 0.126 0.874 0.874
Pd 0.374 0.374 0.626
Pd 0.374 0.626 0.374
Pd 0.626 0.374 0.374
Pd 0.626 0.626 0.626
Pd 0.874 0.126 0.874
Pd 0.874 0.874 0.126
I 0.192 0.192 0.808
I 0.192 0.808 0.192
I 0.308 0.308 0.308
I 0.308 0.692 0.692
I 0.692 0.308 0.692
I 0.692 0.692 0.308
I 0.808 0.192 0.192
I 0.808 0.808 0.808